Record 1
Compound: CaSm2Au3
Source: Alexandria via LeMat-Bulk
Functional: PBE
Structure: relaxed

a b c (Å): 8.2388 8.2388 3.6712
angles (deg): 90.00 90.00 143.60
Last column: nearest neighbours and their distance in Å.
Element x y z (fractional)
Ca 0.0000 0.0000 0.0000  8 Au 3.16-3.32
Sm 0.3373 0.6627 0.0000  8 Au 3.12-3.17
Sm 0.6627 0.3373 0.0000  8 Au 3.12-3.17
Au 0.1765 0.8235 0.5000  6 Sm 3.12-3.17, 2 Ca 3.32, 2 Au 3.45
Au 0.5000 0.5000 0.5000  4 Sm 3.14, 4 Ca 3.16
Au 0.8235 0.1765 0.5000  6 Sm 3.12-3.17, 2 Ca 3.32, 2 Au 3.45

## Properties
- theoretical density (kg/m3) = 10462
- magnetization (μB per formula unit) = 0.00
- DOS(E_F) (states/eV per cell) = 4.371
- space group = Cmmm
- DFT formation energy (eV/atom) = -0.80
- electronic total energy (eV/f.u.) = -26.1

***

Record 2
Compound: CaSmAu2
Source: Alexandria via LeMat-Bulk
Functional: PBE
Structure: relaxed

a b c (Å): 7.8193 7.8193 7.8193
angles (deg): 30.82 30.82 30.82
Last column: nearest neighbours and their distance in Å.
Element x y z (fractional)
Ca 0.0000 0.0000 0.0000  6 Au 3.03-3.09
Sm 0.8298 0.8298 0.8298  6 Au 2.99-3.03
Au 0.2463 0.2463 0.2463  3 Sm 3.03, 3 Ca 3.09
Au 0.4166 0.4166 0.4166  3 Sm 2.99, 3 Ca 3.03

## Properties
- theoretical density (kg/m3) = 8720
- magnetization (μB per formula unit) = 0.00
- DOS(E_F) (states/eV per cell) = 2.504
- space group = R3m
- DFT formation energy (eV/atom) = -0.69
- electronic total energy (eV/f.u.) = -16.0

***

Record 3
Compound: Ca2SmAu
Source: Alexandria via LeMat-Bulk
Functional: PBE
Structure: relaxed

a b c (Å): 10.5079 10.5079 10.5079
angles (deg): 21.06 21.06 21.06
Last column: nearest neighbours and their distance in Å.
Element x y z (fractional)
Ca 0.0000 0.0000 0.0000  3 Au 3.00
Ca 0.2025 0.2025 0.2025  3 Au 2.99
Sm 0.4352 0.4352 0.4352  6 Ca 3.81-3.84, 6 Sm 3.84
Au 0.6011 0.6011 0.6011  6 Ca 2.99-3.00

## Properties
- theoretical density (kg/m3) = 5410
- magnetization (μB per formula unit) = 0.41
- DOS(E_F) (states/eV per cell) = 4.304
- space group = R3m
- energy above the most stable polymorph in this dataset (eV/f.u.) = 0.263
- DFT formation energy (eV/atom) = -0.27
- electronic total energy (eV/f.u.) = -13.1

***

Record 4
Compound: CaSm3Au2
Source: Alexandria via LeMat-Bulk
Functional: PBE
Structure: relaxed

a b c (Å): 5.0282 9.1072 7.4543
angles (deg): 90.00 90.00 90.00
Last column: nearest neighbours and their distance in Å.
Element x y z (fractional)
Ca 0.0000 0.0735 0.0000  3 Au 3.07-3.30
Ca 0.0000 0.9265 0.5000  3 Au 3.07-3.30
Sm 0.0000 0.3312 0.6338  4 Au 2.98-3.09
Sm 0.0000 0.6688 0.1338  4 Au 2.98-3.09
Sm 0.5000 0.1735 0.3336  4 Au 2.96-3.08
Sm 0.5000 0.4238 0.9690  3 Au 3.06-3.26
Sm 0.5000 0.5762 0.4690  3 Au 3.06-3.26
Sm 0.5000 0.8265 0.8336  4 Au 2.96-3.08
Au 0.0000 0.3515 0.2335  6 Sm 2.98-3.26, 1 Ca 3.07
Au 0.0000 0.6485 0.7335  6 Sm 2.98-3.26, 1 Ca 3.07
Au 0.5000 0.1509 0.7303  5 Sm 2.96-3.09, 2 Ca 3.30
Au 0.5000 0.8491 0.2303  5 Sm 2.96-3.09, 2 Ca 3.30

## Properties
- theoretical density (kg/m3) = 8611
- magnetization (μB per formula unit) = 0.00
- DOS(E_F) (states/eV per cell) = 12.253
- space group = Pmc2_1
- DFT formation energy (eV/atom) = -0.58
- electronic total energy (eV/f.u.) = -26.2

***

Record 5
Compound: Ca2SmAu
Source: Alexandria via LeMat-Bulk
Functional: PBE
Structure: relaxed

a b c (Å): 11.3797 11.3797 11.3797
angles (deg): 19.02 19.02 19.02
Last column: nearest neighbours and their distance in Å.
Element x y z (fractional)
Ca 0.1066 0.1066 0.1066  3 Au 2.96
Ca 0.8934 0.8934 0.8934  3 Au 2.96
Sm 0.0000 0.0000 0.0000  2 Ca 3.57, 6 Sm 3.76
Au 0.5000 0.5000 0.5000  6 Ca 2.96

## Properties
- theoretical density (kg/m3) = 5188
- magnetization (μB per formula unit) = 0.00
- DOS(E_F) (states/eV per cell) = 4.227
- space group = R-3m
- energy above the most stable polymorph in this dataset (eV/f.u.) = 0.853
- DFT formation energy (eV/atom) = -0.12
- electronic total energy (eV/f.u.) = -12.5

***

Record 6
Compound: Ca2SmAu3
Source: Alexandria via LeMat-Bulk
Functional: PBE
Structure: relaxed

a b c (Å): 8.1713 8.1713 3.6622
angles (deg): 90.00 90.00 143.34
Last column: nearest neighbours and their distance in Å.
Element x y z (fractional)
Ca 0.1691 0.8309 0.0000  8 Au 3.16-3.22
Ca 0.8309 0.1691 0.0000  8 Au 3.16-3.22
Sm 0.5000 0.5000 0.0000  8 Au 3.09-3.16
Au 0.0000 0.0000 0.5000  4 Sm 3.16, 4 Ca 3.20
Au 0.3395 0.6605 0.5000  2 Sm 3.09, 6 Ca 3.16-3.22
Au 0.6605 0.3395 0.5000  2 Sm 3.09, 6 Ca 3.16-3.22

## Properties
- theoretical density (kg/m3) = 9342
- magnetization (μB per formula unit) = 0.00
- DOS(E_F) (states/eV per cell) = 4.078
- space group = Cmmm
- energy above the most stable polymorph in this dataset (eV/f.u.) = 0.000
- DFT formation energy (eV/atom) = -0.80
- electronic total energy (eV/f.u.) = -23.3